[1]
## La4Ce3TmTe8 (GGA-PBE)

Data for an optimized crystal structure of La4Ce3TmTe8.

Computed properties:
Its density of states at the Fermi level is 26.993 states/eV/cell. For the uncorrected formation energy, the calculation gives -1.45 eV per atom. Its total magnetization is 3.48 μB per cell.

Unit cell a=9.0480 b=9.0480 c=9.0480 alpha=59.72 beta=59.72 gamma=59.72
Element x y z (fractional)
1 La 0.0000 0.0000 0.0000
2 La 0.0000 0.5000 0.5000
3 La 0.5000 0.0000 0.5000
4 La 0.5000 0.5000 0.0000
5 Ce 0.0000 0.0000 0.5000
6 Ce 0.0000 0.5000 0.0000
7 Ce 0.5000 0.0000 0.0000
8 Tm 0.5000 0.5000 0.5000
9 Te 0.2481 0.2481 0.2481
10 Te 0.2538 0.7424 0.7424
11 Te 0.2576 0.2576 0.7462
12 Te 0.2576 0.7462 0.2576
13 Te 0.7424 0.2538 0.7424
14 Te 0.7424 0.7424 0.2538
15 Te 0.7462 0.2576 0.2576
16 Te 0.7519 0.7519 0.7519


[2]
## La3Ce3TmTe8 (GGA-PBE)

Data for an optimized crystal structure of La3Ce3TmTe8.

Computed properties:
Its density of states at the Fermi level is 27.103 states/eV/cell. For the uncorrected formation energy, the calculation gives -1.46 eV per atom. Its total magnetization is 1.32 μB per cell.

Unit cell a=9.0237 b=9.0237 c=9.0812 alpha=119.95 beta=119.95 gamma=59.84
Element x y z (fractional)
1 La 0.0000 0.0000 0.0000
2 La 0.0000 0.5000 0.0000
3 La 0.5000 0.0000 0.0000
4 Ce 0.0000 0.5000 0.5000
5 Ce 0.5000 0.0000 0.5000
6 Ce 0.5000 0.5000 0.5000
7 Tm 0.0000 0.0000 0.5000
8 Te 0.2440 0.2440 0.7410
9 Te 0.2442 0.7525 0.7410
10 Te 0.2475 0.7558 0.2590
11 Te 0.2516 0.2516 0.2548
12 Te 0.7484 0.7484 0.7452
13 Te 0.7525 0.2442 0.7410
14 Te 0.7558 0.2475 0.2590
15 Te 0.7560 0.7560 0.2590


[3]
## La2CeTm3Te6 (GGA-PBE)

Data for an optimized crystal structure of La2CeTm3Te6.

Computed properties:
Its density of states at the Fermi level is 12.223 states/eV/cell. For the uncorrected formation energy, the calculation gives -1.36 eV per atom. Its total magnetization is 1.39 μB per cell.

Unit cell a=9.9840 b=9.9840 c=9.0069 alpha=105.19 beta=105.19 gamma=25.20
Element x y z (fractional)
1 La 0.1654 0.1654 0.3317
2 La 0.8346 0.8346 0.6683
3 Ce 0.5000 0.5000 0.0000
4 Tm 0.1683 0.1683 0.8349
5 Tm 0.5000 0.5000 0.5000
6 Tm 0.8317 0.8317 0.1651
7 Te 0.0059 0.0059 0.7417
8 Te 0.3303 0.3303 0.9296
9 Te 0.3377 0.3377 0.4043
10 Te 0.6623 0.6623 0.5957
11 Te 0.6697 0.6697 0.0704
12 Te 0.9941 0.9941 0.2583


[4]
## La3CeTm2Te6 (GGA-PBE)

Data for an optimized crystal structure of La3CeTm2Te6.

Computed properties:
Its density of states at the Fermi level is 13.769 states/eV/cell. For the uncorrected formation energy, the calculation gives -1.42 eV per atom. Its total magnetization is 1.15 μB per cell.

Unit cell a=7.7181 b=7.7181 c=7.8158 alpha=99.49 beta=99.49 gamma=120.17
Element x y z (fractional)
1 La 0.0000 0.0000 0.0000
2 La 0.3392 0.6608 0.0000
3 La 0.6608 0.3392 0.0000
4 Ce 0.5000 0.5000 0.5000
5 Tm 0.1679 0.8321 0.5000
6 Tm 0.8321 0.1679 0.5000
7 Te 0.0780 0.4214 0.2644
8 Te 0.2322 0.2322 0.7292
9 Te 0.4214 0.0780 0.2644
10 Te 0.5786 0.9220 0.7356
11 Te 0.7678 0.7678 0.2708
12 Te 0.9220 0.5786 0.7356


| no. | E (eV per atom) |
| --- | --- |
| 1 | -5.649 |
| 2 | -5.611 |
| 3 | -5.361 |
| 4 | -5.463 |